Entry 1:
DFT (PBE) results for PrNd2TmTe5 after structural relaxation.

Unit cell a=5.482 b=5.482 c=11.831 alpha=90.00 beta=90.00 gamma=90.00
Fractional coordinates of all 9 atoms:
Pr 0.000 0.000 0.000
Nd 0.500 0.500 0.341
Nd 0.500 0.500 0.659
Tm 0.000 0.000 0.500
Te 0.000 0.000 0.252
Te 0.000 0.000 0.748
Te 0.000 0.500 0.500
Te 0.500 0.000 0.500
Te 0.500 0.500 0.000

Electronic total energy (eV/atom): -4.693
Total magnetic moment (μB per atom): 0.055
ρ (kg/m³): 5774

=====

Entry 2:
DFT (PBE) results for PrNd2Tm3Te6 after structural relaxation.

Unit cell a=9.962 b=9.962 c=8.998 alpha=105.86 beta=105.86 gamma=25.06
Fractional coordinates of all 12 atoms:
Pr 0.000 0.000 0.000
Nd 0.334 0.334 0.668
Nd 0.666 0.666 0.332
Tm 0.000 0.000 0.500
Tm 0.334 0.334 0.167
Tm 0.666 0.666 0.833
Te 0.163 0.163 0.593
Te 0.171 0.171 0.074
Te 0.496 0.496 0.261
Te 0.504 0.504 0.739
Te 0.829 0.829 0.926
Te 0.837 0.837 0.407

Electronic total energy (eV/atom): -5.192
Total magnetic moment (μB per atom): 0.000
ρ (kg/m³): 7784

=====

Entry 3:
DFT (PBE) results for Pr2NdY3Te6 after structural relaxation.

Unit cell a=9.971 b=9.971 c=8.985 alpha=104.06 beta=104.06 gamma=25.48
Fractional coordinates of all 12 atoms:
Pr 0.167 0.167 0.334
Pr 0.833 0.833 0.666
Nd 0.500 0.500 0.000
Y 0.167 0.167 0.834
Y 0.500 0.500 0.500
Y 0.833 0.833 0.166
Te 0.003 0.003 0.744
Te 0.331 0.331 0.925
Te 0.337 0.337 0.409
Te 0.663 0.663 0.591
Te 0.669 0.669 0.075
Te 0.997 0.997 0.256

Electronic total energy (eV/atom): -5.758
Total magnetic moment (μB per atom): 0.000
ρ (kg/m³): 6507

=====

Entry 4:
DFT (PBE) results for Pr3Nd4YTe8 after structural relaxation.

Unit cell a=8.989 b=8.989 c=8.989 alpha=60.10 beta=60.10 gamma=60.10
Fractional coordinates of all 16 atoms:
Pr 0.000 0.500 0.500
Pr 0.500 0.000 0.500
Pr 0.500 0.500 0.000
Nd 0.000 0.000 0.500
Nd 0.000 0.500 0.000
Nd 0.500 0.000 0.000
Nd 0.500 0.500 0.500
Y 0.000 0.000 0.000
Te 0.244 0.754 0.754
Te 0.246 0.246 0.756
Te 0.246 0.756 0.246
Te 0.249 0.249 0.249
Te 0.751 0.751 0.751
Te 0.754 0.244 0.754
Te 0.754 0.754 0.244
Te 0.756 0.246 0.246

Electronic total energy (eV/atom): -5.472
Total magnetic moment (μB per atom): 0.000
ρ (kg/m³): 6806

=====

Entry 5:
DFT (PBE) results for Pr4Nd3YTe8 after structural relaxation.

Unit cell a=8.995 b=8.995 c=9.003 alpha=119.91 beta=119.91 gamma=60.05
Fractional coordinates of all 16 atoms:
Pr 0.000 0.000 0.000
Pr 0.000 0.500 0.000
Pr 0.500 0.000 0.000
Pr 0.500 0.500 0.000
Nd 0.000 0.000 0.500
Nd 0.000 0.500 0.500
Nd 0.500 0.000 0.500
Y 0.500 0.500 0.500
Te 0.249 0.249 0.747
Te 0.253 0.745 0.743
Te 0.255 0.255 0.257
Te 0.255 0.747 0.257
Te 0.745 0.253 0.743
Te 0.745 0.745 0.743
Te 0.747 0.255 0.257
Te 0.751 0.751 0.253

Electronic total energy (eV/atom): -5.476
Total magnetic moment (μB per atom): 0.000
ρ (kg/m³): 6778

=====

Entry 6:
DFT (PBE) results for Pr2NdYTe5 after structural relaxation.

Unit cell a=5.705 b=5.705 c=11.680 alpha=90.00 beta=90.00 gamma=90.00
Fractional coordinates of all 9 atoms:
Pr 0.000 0.000 0.160
Pr 0.000 0.000 0.840
Nd 0.500 0.500 0.000
Y 0.500 0.500 0.500
Te 0.000 0.000 0.500
Te 0.000 0.500 0.000
Te 0.500 0.000 0.000
Te 0.500 0.500 0.258
Te 0.500 0.500 0.742

Electronic total energy (eV/atom): -4.808
Total magnetic moment (μB per atom): 0.077
ρ (kg/m³): 5035

=====

Entry 7:
DFT (PBE) results for Pr3NdY2Te6 after structural relaxation.

Unit cell a=10.014 b=10.014 c=9.016 alpha=103.39 beta=103.39 gamma=25.60
Fractional coordinates of all 12 atoms:
Pr 0.000 0.000 0.000
Pr 0.338 0.338 0.668
Pr 0.662 0.662 0.332
Nd 0.000 0.000 0.500
Y 0.335 0.335 0.169
Y 0.665 0.665 0.831
Te 0.168 0.168 0.593
Te 0.171 0.171 0.076
Te 0.495 0.495 0.249
Te 0.505 0.505 0.751
Te 0.829 0.829 0.924
Te 0.832 0.832 0.407

Electronic total energy (eV/atom): -5.637
Total magnetic moment (μB per atom): 0.000
ρ (kg/m³): 6609

=====

Entry 8:
DFT (PBE) results for PrNd3Y2Te6 after structural relaxation.

Unit cell a=9.976 b=9.976 c=8.989 alpha=103.02 beta=103.02 gamma=25.65
Fractional coordinates of all 12 atoms:
Pr 0.000 0.000 0.000
Nd 0.000 0.000 0.500
Nd 0.339 0.339 0.168
Nd 0.661 0.661 0.832
Y 0.335 0.335 0.670
Y 0.665 0.665 0.330
Te 0.170 0.170 0.092
Te 0.170 0.170 0.577
Te 0.496 0.496 0.746
Te 0.504 0.504 0.254
Te 0.830 0.830 0.423
Te 0.830 0.830 0.908

Electronic total energy (eV/atom): -5.628
Total magnetic moment (μB per atom): 0.000
ρ (kg/m³): 6686

=====

Entry 9:
DFT (PBE) results for PrNd2Y3Te6 after structural relaxation.

Unit cell a=9.953 b=9.953 c=8.966 alpha=103.91 beta=103.91 gamma=25.52
Fractional coordinates of all 12 atoms:
Pr 0.000 0.000 0.000
Nd 0.334 0.334 0.668
Nd 0.666 0.666 0.332
Y 0.000 0.000 0.500
Y 0.334 0.334 0.167
Y 0.666 0.666 0.833
Te 0.164 0.164 0.589
Te 0.170 0.170 0.077
Te 0.498 0.498 0.258
Te 0.502 0.502 0.742
Te 0.830 0.830 0.923
Te 0.836 0.836 0.411

Electronic total energy (eV/atom): -5.754
Total magnetic moment (μB per atom): 0.000
ρ (kg/m³): 6547

=====

Entry 10:
DFT (PBE) results for PrNdY2Te6 after structural relaxation.

Unit cell a=8.417 b=8.417 c=8.417 alpha=55.68 beta=55.68 gamma=55.68
Fractional coordinates of all 10 atoms:
Pr 0.000 0.000 0.000
Nd 0.499 0.499 0.499
Y 0.309 0.309 0.309
Y 0.809 0.809 0.809
Te 0.081 0.698 0.420
Te 0.202 0.582 0.916
Te 0.420 0.081 0.698
Te 0.582 0.916 0.202
Te 0.698 0.420 0.081
Te 0.916 0.202 0.582

Electronic total energy (eV/atom): -5.516
Total magnetic moment (μB per atom): 0.000
ρ (kg/m³): 5377

=====

Entry 11:
DFT (PBE) results for Pr3Nd2YTe6 after structural relaxation.

Unit cell a=10.044 b=10.044 c=9.048 alpha=102.86 beta=102.86 gamma=25.69
Fractional coordinates of all 12 atoms:
Pr 0.000 0.000 0.000
Pr 0.329 0.329 0.666
Pr 0.671 0.671 0.334
Nd 0.331 0.331 0.164
Nd 0.669 0.669 0.836
Y 0.000 0.000 0.500
Te 0.161 0.161 0.582
Te 0.166 0.166 0.082
Te 0.500 0.500 0.260
Te 0.500 0.500 0.740
Te 0.834 0.834 0.918
Te 0.839 0.839 0.418

Electronic total energy (eV/atom): -5.513
Total magnetic moment (μB per atom): 0.000
ρ (kg/m³): 6749

=====

Entry 12:
DFT (PBE) results for Pr2Nd5Th4 after structural relaxation.

Unit cell a=12.213 b=12.213 c=9.565 alpha=95.82 beta=95.82 gamma=16.38
Fractional coordinates of all 11 atoms:
Pr 0.239 0.239 0.304
Pr 0.761 0.761 0.696
Nd 0.000 0.000 0.000
Nd 0.355 0.355 0.077
Nd 0.372 0.372 0.467
Nd 0.628 0.628 0.533
Nd 0.645 0.645 0.923
Th 0.110 0.110 0.220
Th 0.497 0.497 0.326
Th 0.503 0.503 0.674
Th 0.890 0.890 0.780

Electronic total energy (eV/atom): -5.422
Total magnetic moment (μB per atom): 0.000
Formation energy (eV per atom): 0.313
ρ (kg/m³): 8012

=====

Entry 13:
DFT (PBE) results for Pr6NdTh after structural relaxation.

Unit cell a=5.215 b=5.215 c=10.442 alpha=90.00 beta=90.00 gamma=90.00
Fractional coordinates of all 8 atoms:
Pr 0.000 0.000 0.000
Pr 0.000 0.000 0.500
Pr 0.000 0.500 0.245
Pr 0.000 0.500 0.755
Pr 0.500 0.000 0.245
Pr 0.500 0.000 0.755
Nd 0.500 0.500 0.500
Th 0.500 0.500 0.000

Excess energy over the best structure of this formula in the dataset (meV/atom): 0
Electronic total energy (eV/atom): -5.072
Total magnetic moment (μB per atom): 0.000
Formation energy (eV per atom): 0.036
ρ (kg/m³): 7143

=====

Entry 14:
DFT (PBE) results for Pr8Nd2Th after structural relaxation.

Unit cell a=9.779 b=9.779 c=8.279 alpha=104.64 beta=104.64 gamma=30.98
Fractional coordinates of all 11 atoms:
Pr 0.044 0.044 0.235
Pr 0.134 0.134 0.678
Pr 0.320 0.320 0.591
Pr 0.409 0.409 0.050
Pr 0.591 0.591 0.950
Pr 0.680 0.680 0.409
Pr 0.866 0.866 0.322
Pr 0.956 0.956 0.765
Nd 0.228 0.228 0.136
Nd 0.772 0.772 0.864
Th 0.500 0.500 0.500

Electronic total energy (eV/atom): -4.988
Total magnetic moment (μB per atom): 0.000
Formation energy (eV per atom): 0.029
ρ (kg/m³): 6958

=====

Entry 15:
DFT (PBE) results for Pr5Nd2Th after structural relaxation.

Unit cell a=7.357 b=14.721 c=5.245 alpha=90.00 beta=90.00 gamma=90.00
Fractional coordinates of all 16 atoms:
Pr 0.000 0.000 0.000
Pr 0.001 0.252 0.000
Pr 0.243 0.378 0.500
Pr 0.257 0.878 0.500
Pr 0.499 0.752 0.000
Pr 0.500 0.500 0.000
Pr 0.501 0.248 0.000
Pr 0.743 0.122 0.500
Pr 0.757 0.622 0.500
Pr 0.999 0.748 0.000
Nd 0.242 0.621 0.500
Nd 0.258 0.121 0.500
Nd 0.742 0.879 0.500
Nd 0.758 0.379 0.500
Th 0.000 0.500 0.000
Th 0.500 0.000 0.000

Electronic total energy (eV/atom): -5.072
Total magnetic moment (μB per atom): 0.000
Formation energy (eV per atom): 0.034
ρ (kg/m³): 7163

=====

Entry 16:
DFT (PBE) results for Pr3Nd2Th after structural relaxation.

Unit cell a=9.743 b=9.743 c=9.743 alpha=149.10 beta=115.03 gamma=73.67
Fractional coordinates of all 12 atoms:
Pr 0.000 0.000 0.000
Pr 0.177 0.668 0.509
Pr 0.340 0.332 0.009
Pr 0.500 0.000 0.500
Pr 0.660 0.668 0.991
Pr 0.823 0.332 0.491
Nd 0.083 0.833 0.250
Nd 0.254 0.504 0.750
Nd 0.746 0.496 0.250
Nd 0.917 0.167 0.750
Th 0.420 0.170 0.250
Th 0.580 0.830 0.750

Electronic total energy (eV/atom): -5.176
Total magnetic moment (μB per atom): 0.000
Formation energy (eV per atom): 0.040
ρ (kg/m³): 7395

=====

Entry 17:
DFT (PBE) results for Pr4Nd10Th after structural relaxation.

Unit cell a=9.172 b=9.172 c=9.172 alpha=114.18 beta=114.18 gamma=100.42
Fractional coordinates of all 15 atoms:
Pr 0.066 0.310 0.376
Pr 0.310 0.934 0.244
Pr 0.690 0.066 0.756
Pr 0.934 0.690 0.624
Nd 0.106 0.452 0.896
Nd 0.210 0.106 0.654
Nd 0.250 0.750 0.500
Nd 0.443 0.790 0.896
Nd 0.452 0.557 0.346
Nd 0.548 0.443 0.654
Nd 0.557 0.210 0.104
Nd 0.750 0.250 0.500
Nd 0.790 0.894 0.346
Nd 0.894 0.548 0.104
Th 0.500 0.500 0.000

Electronic total energy (eV/atom): -4.547
Total magnetic moment (μB per atom): 0.000
Formation energy (eV per atom): 0.401
ρ (kg/m³): 6373

=====

Entry 18:
DFT (PBE) results for Pr2Nd4Th after structural relaxation.

Unit cell a=9.242 b=9.242 c=9.242 alpha=136.70 beta=100.15 gamma=95.51
Fractional coordinates of all 14 atoms:
Pr 0.000 0.000 0.000
Pr 0.474 0.224 0.250
Pr 0.500 0.000 0.500
Pr 0.526 0.776 0.750
Nd 0.141 0.647 0.494
Nd 0.260 0.284 0.525
Nd 0.260 0.735 0.975
Nd 0.346 0.353 0.994
Nd 0.654 0.647 0.006
Nd 0.740 0.265 0.025
Nd 0.740 0.716 0.475
Nd 0.859 0.353 0.506
Th 0.000 0.000 0.500
Th 0.000 0.500 0.000

Excess energy over the best structure of this formula in the dataset (meV/atom): 245
Electronic total energy (eV/atom): -4.886
Total magnetic moment (μB per atom): 0.000
Formation energy (eV per atom): 0.264
ρ (kg/m³): 7209

=====

Entry 19:
DFT (PBE) results for PrNd6Th3 after structural relaxation.

Unit cell a=10.693 b=5.758 c=11.634 alpha=90.00 beta=95.40 gamma=90.00
Fractional coordinates of all 20 atoms:
Pr 0.039 0.250 0.330
Pr 0.961 0.750 0.670
Nd 0.155 0.750 0.187
Nd 0.163 0.250 0.688
Nd 0.193 0.750 0.465
Nd 0.215 0.750 0.915
Nd 0.344 0.250 0.245
Nd 0.455 0.250 0.896
Nd 0.545 0.750 0.104
Nd 0.656 0.750 0.755
Nd 0.785 0.250 0.085
Nd 0.807 0.250 0.535
Nd 0.837 0.750 0.312
Nd 0.845 0.250 0.813
Th 0.101 0.250 0.017
Th 0.369 0.750 0.697
Th 0.468 0.250 0.567
Th 0.532 0.750 0.433
Th 0.631 0.250 0.303
Th 0.899 0.750 0.983

Electronic total energy (eV/atom): -5.400
Total magnetic moment (μB per atom): 0.000
Formation energy (eV per atom): 0.164
ρ (kg/m³): 7929

=====

Entry 20:
DFT (PBE) results for Pr14NdTh after structural relaxation.

Unit cell a=7.393 b=7.393 c=10.529 alpha=90.00 beta=90.00 gamma=90.00
Fractional coordinates of all 16 atoms:
Pr 0.000 0.000 0.000
Pr 0.000 0.500 0.000
Pr 0.000 0.500 0.500
Pr 0.247 0.247 0.253
Pr 0.247 0.247 0.747
Pr 0.247 0.753 0.253
Pr 0.247 0.753 0.747
Pr 0.500 0.000 0.000
Pr 0.500 0.000 0.500
Pr 0.500 0.500 0.000
Pr 0.753 0.247 0.253
Pr 0.753 0.247 0.747
Pr 0.753 0.753 0.253
Pr 0.753 0.753 0.747
Nd 0.500 0.500 0.500
Th 0.000 0.000 0.500

Electronic total energy (eV/atom): -4.920
Total magnetic moment (μB per atom): 0.000
Formation energy (eV per atom): 0.024
ρ (kg/m³): 6779